Here is an optimized crystal structure of MgMnHgC2 from the Alexandria database. Energies are from PBE.

Cell and atoms, written as POSCAR:
```
MgMnHgC2
1.0
-3.619 1.953 1.156
-2.524 -2.617 -3.479
-0.750 -3.082 2.862
Mn Mg Hg C
1 1 1 2
direct
0.500 0.500 0.500
0.000 0.500 0.000
0.000 0.000 0.000
0.500 0.000 0.000
0.000 0.000 0.500
```

The volume is 92 Å³/cell. Its formation energy is 15.0 eV/f.u. The density of states at the Fermi level is 1.20 states/eV/atom.

***

Here is an optimized crystal structure of Mg2HgCN from the Alexandria database. Energies are from PBE.

Cell and atoms, written as POSCAR:
```
Mg2HgCN
1.0
5.242 0.000 0.000
0.000 3.892 0.000
0.000 0.000 5.242
N Hg C Mg
1 1 1 2
direct
0.500 0.500 0.500
0.000 0.000 0.000
0.000 0.500 0.000
0.500 0.000 0.000
0.000 0.000 0.500
```

The value obtained for the formation energy without anion corrections is 1.89 eV per atom. The volume is 107 Å³/cell. The density of states at the Fermi level is 0.50 states/eV/atom.

***

Here is an optimized crystal structure of Mg2HgPC from the Alexandria database. Energies are from PBE.

Cell and atoms, written as POSCAR:
```
Mg2HgPC
1.0
-4.104 0.478 1.296
-0.012 -4.315 1.556
1.381 1.389 3.862
Mg Hg C P
2 1 1 1
direct
0.500 0.000 0.000
0.000 0.000 0.500
0.000 0.500 0.000
0.000 0.000 0.000
0.500 0.500 0.500
```

The volume is 86 Å³/cell. Its formation energy is 2.0 eV/f.u. The density of states at the Fermi level is 0.65 states/eV/atom.